# 1
A relaxed structure of Ac8TlRh3Br4, computed with PBE-GGA.

Output
The total magnetization comes out at 0.00 Bohr magnetons per cell. As for the space-group type: C2/m. Its formation energy (no corrections) is -16.2 eV per formula unit.

Geometry as POSCAR:
```
Ac8TlRh3Br4
1.0
7.776 -4.490 0.000
7.776 4.490 0.000
-5.191 0.000 8.182
Ac Tl Rh Br
8 1 3 4
Direct
0.208 0.745 0.698 Ac
0.234 0.234 0.701 Ac
0.255 0.255 0.303 Ac
0.255 0.792 0.302 Ac
0.745 0.208 0.698 Ac
0.745 0.745 0.697 Ac
0.766 0.766 0.299 Ac
0.792 0.255 0.302 Ac
0.500 0.500 0.500 Tl
0.000 0.000 0.500 Rh
0.000 0.500 0.500 Rh
0.500 0.000 0.500 Rh
0.000 0.000 0.000 Br
0.000 0.500 0.000 Br
0.500 0.000 0.000 Br
0.500 0.500 0.000 Br
```

=====

# 2
A relaxed structure of Ca2PdPt2, computed with PBE-GGA.

Output
The total magnetization comes out at 0.00 Bohr magnetons per cell. As for the space-group type: P4/mbm. As for the energy of formation: -757 meV per atom.

Geometry as POSCAR:
```
Ca2PdPt2
1.0
7.063 0.000 0.000
0.000 7.063 0.000
0.000 0.000 4.237
Ca Pd Pt
4 2 4
Direct
0.175 0.325 0.000 Ca
0.325 0.825 0.000 Ca
0.675 0.175 0.000 Ca
0.825 0.675 0.000 Ca
0.000 0.000 0.500 Pd
0.500 0.500 0.500 Pd
0.133 0.633 0.500 Pt
0.367 0.133 0.500 Pt
0.633 0.867 0.500 Pt
0.867 0.367 0.500 Pt
```

=====

# 3
A relaxed structure of CuB2F2, computed with PBE-GGA.

Output
The total magnetization comes out at 0.00 Bohr magnetons per cell. As for the space-group type: I4/mmm. The energy above the most stable polymorph in this dataset is 0.000 eV/f.u. Its formation energy (no corrections) is 0.1 eV per formula unit.

Geometry as POSCAR:
```
CuB2F2
1.0
-1.308 1.308 6.943
1.308 -1.308 6.943
1.308 1.308 -6.943
Cu B F
1 2 2
Direct
0.000 0.000 0.000 Cu
0.250 0.750 0.500 B
0.750 0.250 0.500 B
0.403 0.403 0.000 F
0.597 0.597 0.000 F
```

=====

# 4
A relaxed structure of TcTeSe2, computed with PBE-GGA.

Output
The total magnetization comes out at 0.00 Bohr magnetons per cell. As for the space-group type: Pnma. Its formation energy (no corrections) is -0.9 eV per formula unit.

Geometry as POSCAR:
```
TcTeSe2
1.0
9.936 0.000 0.000
0.000 3.392 0.000
0.000 0.000 12.606
Tc Te Se
4 4 8
Direct
0.025 0.250 0.089 Tc
0.475 0.750 0.589 Tc
0.525 0.250 0.411 Tc
0.975 0.750 0.911 Tc
0.097 0.250 0.757 Te
0.403 0.750 0.257 Te
0.597 0.250 0.743 Te
0.903 0.750 0.243 Te
0.153 0.250 0.264 Se
0.182 0.750 0.017 Se
0.318 0.250 0.517 Se
0.347 0.750 0.764 Se
0.653 0.250 0.236 Se
0.682 0.750 0.483 Se
0.818 0.250 0.983 Se
0.847 0.750 0.736 Se
```